VB2F: optimized geometry, PBE+U.

Properties
N(E_F) in states/eV/cell: 7.94
E above lowest polymorph in eV/f.u.: 4.126
DFT total energy in Ry per atom: -0.3204
Total magnetization in μB/cell: 0.00
Space-group type: Fm-3m, No. 225

```
16
Lattice="5.4146 0.0000 0.0000 0.0000 5.4146 0.0000 0.0000 0.0000 5.4146" Properties=species:S:1:pos:R:3 pbc="T T T"
V 0.0000 0.0000 0.0000
V 0.0000 2.7073 2.7073
V 2.7073 0.0000 2.7073
V 2.7073 2.7073 0.0000
B 1.3536 1.3536 1.3536
B 1.3536 1.3536 4.0609
B 1.3536 4.0609 1.3536
B 1.3536 4.0609 4.0609
B 4.0609 1.3536 1.3536
B 4.0609 1.3536 4.0609
B 4.0609 4.0609 1.3536
B 4.0609 4.0609 4.0609
F 0.0000 0.0000 2.7073
F 0.0000 2.7073 0.0000
F 2.7073 0.0000 0.0000
F 2.7073 2.7073 2.7073
```